(1)
{"formula": "Al2CrHg", "functional": "PBEsol", "state": "optimized geometry", "ef_mev_per_atom": 101, "sg": "P4/mmm", "cell": [[-2.355, 0.560, 3.000], [-1.772, -3.544, -0.730], [2.652, -1.825, 2.423]], "species": ["Al", "Al", "Hg", "Cr"], "fractional_positions": [[0.000, 0.000, 0.500], [0.000, 0.500, 0.000], [0.500, 0.000, 0.000], [0.500, 0.500, 0.500]]}


(2)
{"formula": "ReRhN2O", "functional": "PBEsol", "state": "optimized geometry", "e_form_raw_ev_per_atom": 1.438, "sg": "P4/mmm", "cell": [[3.797, 0.000, 0.000], [0.000, 3.797, 0.000], [0.000, 0.000, 3.774]], "species": ["N", "N", "O", "Rh", "Re"], "fractional_positions": [[0.000, 0.500, 0.000], [0.500, 0.000, 0.000], [0.000, 0.000, 0.500], [0.000, 0.000, 0.000], [0.500, 0.500, 0.500]]}


(3)
{"formula": "Hg2SbAu", "functional": "PBEsol", "state": "optimized geometry", "e_form_raw_ev_per_atom": 0.038, "sg": "Cm", "cell": [[-3.406, 0.825, 1.351], [0.208, -0.855, -4.175], [-0.324, -6.187, 2.960]], "species": ["Hg", "Hg", "Sb", "Au"], "fractional_positions": [[0.748, 0.495, 0.241], [0.994, 0.988, 0.981], [0.510, 0.020, 0.534], [0.249, 0.497, 0.743]]}


(4)
{"formula": "LiCu2Cl", "functional": "PBEsol", "state": "optimized geometry", "e_form_raw_ev_per_atom": 0.174, "sg": "Cmmm", "de_polymorph_ev_per_atom": 0.449, "cell": [[2.915, -0.010, 0.000], [-1.343, 2.588, 0.000], [0.000, 0.000, 7.941]], "species": ["Cu", "Cu", "Cl", "Li"], "fractional_positions": [[0.000, 0.000, 0.764], [0.000, 0.000, 0.236], [0.500, 0.500, 0.000], [0.500, 0.500, 0.500]]}


(5)
{"formula": "CuReW2", "functional": "PBEsol", "state": "optimized geometry", "ef_mev_per_atom": 383, "sg": "F-43m", "de_polymorph_ev_per_atom": 0.141, "cell": [[4.349, 0.000, 0.000], [2.174, 3.766, 0.000], [2.174, 1.255, 3.551]], "species": ["W", "W", "Re", "Cu"], "fractional_positions": [[0.000, 0.000, 0.000], [0.750, 0.750, 0.750], [0.250, 0.250, 0.250], [0.500, 0.500, 0.500]]}


(6)
{"formula": "BaGa2Ag2", "functional": "PBEsol", "state": "optimized geometry", "ef_mev_per_atom": -259, "sg": "I4/mmm", "cell": [[-2.401, -2.785, 2.668], [3.249, 0.233, 3.167], [-2.964, 5.653, -0.635]], "species": ["Ag", "Ag", "Ga", "Ga", "Ba"], "fractional_positions": [[0.372, 0.372, 0.744], [0.628, 0.628, 0.256], [0.750, 0.250, 0.500], [0.250, 0.750, 0.500], [0.000, 0.000, 0.000]]}


(7)
{"formula": "Ru2WBr", "functional": "PBEsol", "state": "optimized geometry", "e_form_raw_ev_per_atom": 1.065, "sg": "I-4m2", "de_polymorph_ev_per_atom": 0.124, "cell": [[3.819, 0.000, 0.000], [0.000, 3.819, 0.000], [-1.909, -1.909, 4.108]], "species": ["Ru", "Ru", "W", "Br"], "fractional_positions": [[0.000, 0.000, 0.000], [0.750, 0.250, 0.500], [0.500, 0.500, 0.000], [0.250, 0.750, 0.500]]}


(8)
{"formula": "KCoN", "functional": "PBEsol", "state": "optimized geometry", "e_form_raw_ev_per_atom": -0.126, "sg": "Pnma", "cell": [[3.440, 0.000, 0.000], [0.000, 6.485, 0.000], [0.000, 0.000, 9.618]], "species": ["Co", "Co", "Co", "Co", "K", "K", "K", "K", "N", "N", "N", "N"], "fractional_positions": [[0.750, 0.111, 0.974], [0.250, 0.889, 0.026], [0.250, 0.611, 0.526], [0.750, 0.389, 0.474], [0.750, 0.546, 0.823], [0.250, 0.046, 0.677], [0.250, 0.454, 0.177], [0.750, 0.954, 0.323], [0.250, 0.334, 0.460], [0.750, 0.834, 0.040], [0.250, 0.166, 0.960], [0.750, 0.666, 0.540]]}